(1)
First-principles (GGA-PBE) data for a geometry-optimized Zr2CdRhW structure, as listed in the Alexandria database.

a b c (Å): 5.1088 5.1088 4.6717
angles (deg): 90.00 90.00 90.00
Space group P4/mmm (No. 123)
Symmetry-distinct sites (fractional):
Zr: 0.0000 0.5000 0.0000 [2 per cell]
Cd: 0.0000 0.0000 0.0000 [1 per cell]
Rh: 0.0000 0.0000 0.5000 [1 per cell]
W: 0.5000 0.5000 0.5000 [1 per cell]

For the formation energy from the elements, the calculation gives 8.85 eV per formula unit. The total DFT energy (no corrections) is -29.47 eV for the cell shown.


(2)
First-principles (GGA-PBE) data for a geometry-optimized Y3Cd4Rh4 structure, as listed in the Alexandria database.

a b c (Å): 3.7102 8.0010 15.6659
angles (deg): 90.00 90.00 90.00
Space group Immm (No. 71)
Symmetry-distinct sites (fractional):
Y: 0.0000 0.0000 0.0000 [2 per cell]
Y: 0.0000 0.5000 0.1077 [4 per cell]
Cd: 0.0000 0.3147 0.3325 [8 per cell]
Rh: 0.0000 0.0000 0.2568 [4 per cell]
Rh: 0.0000 0.2041 0.5000 [4 per cell]

For the formation energy from the elements, the calculation gives -4.92 eV per formula unit. The total DFT energy (no corrections) is -114.75 eV for the cell shown.


(3)
First-principles (GGA-PBE) data for a geometry-optimized YCd2Rh structure, as listed in the Alexandria database.

a b c (Å): 6.9019 6.9019 6.9019
angles (deg): 90.00 90.00 90.00
Space group Fm-3m (No. 225)
Symmetry-distinct sites (fractional):
Y: 0.0000 0.0000 0.0000 [4 per cell]
Cd: 0.2500 0.2500 0.2500 [8 per cell]
Rh: 0.0000 0.0000 0.5000 [4 per cell]

For the formation energy from the elements, the calculation gives -1.03 eV per formula unit. The total DFT energy (no corrections) is -66.69 eV for the cell shown.


For each record above, in turn, the calculated spin magnetization values are 1.05; 0.00; 0.00 μB per formula unit.